Record 1
DFT (PBE+U) results for crystalline LiVSiO4 at its relaxed geometry.

Structure (POSCAR):
```
LiVSiO4
1.0
-4.7607 -2.5961 -1.0006
-0.1543 -3.8926 -4.3601
-0.3513 -5.6983 1.2621
Li V Si O
2 2 2 8
direct
0.8801 0.8699 0.3699
0.1199 0.1301 0.6301
0.5000 0.0000 0.0000
0.5000 0.5000 0.5000
0.0000 0.5000 0.0000
0.5000 0.5000 0.0000
0.2228 0.2869 0.7869
0.7035 0.2869 0.7869
0.7772 0.7131 0.2131
0.2965 0.7131 0.2131
0.2533 0.2898 0.2035
0.7467 0.2965 0.2102
0.7467 0.7102 0.7965
0.2533 0.7035 0.7898
```

Computed properties:
Offset from the most stable computed form: 61 meV per atom
ρ: 3.6 g/cm³
Space-group type: Imma (74)



Record 2
DFT (PBE+U) results for crystalline LiV2Si2O8 at its relaxed geometry.

Structure (POSCAR):
```
LiV2Si2O8
1.0
5.7310 0.0000 0.0000
0.0000 5.8477 0.0000
0.0000 0.0000 7.9776
Li V Si O
2 4 4 16
direct
0.0000 0.8319 0.7500
0.0000 0.1681 0.2500
0.7807 0.5000 0.0000
0.2193 0.5000 0.5000
0.5000 0.7855 0.7500
0.5000 0.2145 0.2500
0.7391 0.7335 0.3771
0.2609 0.7335 0.1229
0.7391 0.2665 0.6229
0.2609 0.2665 0.8771
0.7393 0.5043 0.2458
0.2607 0.5043 0.2542
0.5034 0.7209 0.5027
0.4966 0.7209 0.9973
0.9828 0.7224 0.4905
0.0172 0.7224 0.0095
0.7366 0.9730 0.2767
0.2634 0.9730 0.2233
0.7366 0.0270 0.7233
0.2634 0.0270 0.7767
0.9828 0.2776 0.5095
0.0172 0.2776 0.9905
0.4966 0.2791 0.0027
0.5034 0.2791 0.4973
0.7393 0.4957 0.7542
0.2607 0.4957 0.7458
```

Computed properties:
Offset from the most stable computed form: 25 meV per atom
ρ: 3.6 g/cm³
Space-group type: P222_1 (17)



Record 3
DFT (PBE+U) results for crystalline LiVSiO4 at its relaxed geometry.

Structure (POSCAR):
```
LiVSiO4
1.0
5.4144 0.0000 0.0000
-2.7072 4.6890 0.0000
0.0000 0.0000 12.4621
Li V Si O
3 3 3 12
direct
0.0000 0.0000 0.0000
0.0000 0.0000 0.6667
0.0000 0.0000 0.3333
0.5000 0.0000 0.8333
0.5000 0.5000 0.5000
0.0000 0.5000 0.1667
0.0000 0.5000 0.6667
0.5000 0.0000 0.3333
0.5000 0.5000 0.0000
0.8167 0.6055 0.5940
0.7888 0.6055 0.0727
0.8167 0.2112 0.7393
0.7888 0.1833 0.2607
0.3945 0.2112 0.9273
0.3945 0.1833 0.4060
0.6055 0.8167 0.4060
0.6055 0.7888 0.9273
0.2112 0.8167 0.2607
0.1833 0.7888 0.7393
0.2112 0.3945 0.0727
0.1833 0.3945 0.5940
```

Computed properties:
Offset from the most stable computed form: 82 meV per atom
ρ: 2.4 g/cm³
Space-group type: P6_422 (181)



Record 4
DFT (PBE+U) results for crystalline Li2VSi6O15 at its relaxed geometry.

Structure (POSCAR):
```
Li2VSi6O15
1.0
12.6553 0.0000 0.0000
0.0000 6.9904 0.0116
0.0000 2.6969 6.9578
Li V Si O
4 2 12 30
direct
0.6613 0.8525 0.4745
0.8439 0.8979 0.1787
0.3439 0.1021 0.8213
0.1613 0.1475 0.5255
0.2469 0.7391 0.7445
0.7469 0.2609 0.2555
0.3340 0.9673 0.2992
0.1561 0.9918 0.0136
0.4891 0.7026 0.9176
0.9869 0.6913 0.7020
0.6572 0.4649 0.8129
0.3336 0.5148 0.4709
0.8336 0.4852 0.5291
0.1572 0.5351 0.1871
0.4869 0.3087 0.2980
0.9891 0.2974 0.0824
0.6561 0.0082 0.9864
0.8340 0.0327 0.7008
0.1913 0.9959 0.8025
0.7673 0.9397 0.9054
0.5610 0.8500 0.9957
0.2644 0.9623 0.4809
0.9431 0.9015 0.7239
0.3841 0.8278 0.8150
0.1121 0.7110 0.6593
0.3711 0.7364 0.3168
0.2225 0.5471 0.9991
0.5609 0.6371 0.7623
0.1151 0.7661 0.1624
0.9603 0.5056 0.9028
0.9248 0.6559 0.5212
0.3112 0.5152 0.6833
0.7252 0.5623 0.6101
0.2252 0.4377 0.3899
0.8112 0.4848 0.3167
0.4248 0.3441 0.4788
0.4603 0.4944 0.0972
0.6151 0.2339 0.8376
0.0609 0.3629 0.2377
0.7225 0.4529 0.0009
0.8711 0.2636 0.6832
0.6121 0.2890 0.3407
0.8841 0.1722 0.1850
0.4431 0.0985 0.2761
0.7644 0.0377 0.5191
0.0610 0.1500 0.0043
0.2673 0.0603 0.0946
0.6913 0.0041 0.1975
```

Computed properties:
Offset from the most stable computed form: 31 meV per atom
ρ: 2.6 g/cm³
Space-group type: P2_1 (4)



Record 5
DFT (PBE+U) results for crystalline LiVSiO4 at its relaxed geometry.

Structure (POSCAR):
```
LiVSiO4
1.0
8.6552 0.0046 0.0074
-2.6250 8.2475 0.0074
-2.6250 -3.5922 7.4241
Li V Si O
6 6 6 24
direct
0.8852 0.1263 0.7250
0.4342 0.2157 0.5993
0.5993 0.4342 0.2157
0.7250 0.8852 0.1263
0.2157 0.5993 0.4342
0.1263 0.7250 0.8852
0.4622 0.0531 0.2266
0.7726 0.5269 0.9494
0.9494 0.7726 0.5269
0.0531 0.2266 0.4622
0.2266 0.4622 0.0531
0.5269 0.9494 0.7726
0.8698 0.2788 0.1030
0.7959 0.3916 0.5675
0.2788 0.1030 0.8698
0.3916 0.5675 0.7959
0.5675 0.7959 0.3916
0.1030 0.8698 0.2788
0.9726 0.3132 0.9746
0.7267 0.0649 0.0156
0.9089 0.2690 0.5840
0.7588 0.4042 0.1007
0.9354 0.6016 0.6327
0.6382 0.3020 0.3602
0.4042 0.1007 0.7588
0.6936 0.3805 0.6986
0.3049 0.0244 0.3445
0.0649 0.0156 0.7267
0.3445 0.3049 0.0244
0.6986 0.6936 0.3805
0.9746 0.9726 0.3132
0.6016 0.6327 0.9354
0.3020 0.3602 0.6382
0.3602 0.6382 0.3020
0.6327 0.9354 0.6016
0.2690 0.5840 0.9089
0.3805 0.6986 0.6936
0.0244 0.3445 0.3049
0.5840 0.9089 0.2690
0.3132 0.9746 0.9726
0.1007 0.7588 0.4042
0.0156 0.7267 0.0649
```

Computed properties:
Offset from the most stable computed form: 50 meV per atom
ρ: 2.8 g/cm³
Space-group type: R3 (146)



Record 6
DFT (PBE+U) results for crystalline LiVSiO4 at its relaxed geometry.

Structure (POSCAR):
```
LiVSiO4
1.0
4.8607 0.0000 -0.0001
0.0000 9.4785 -0.0001
0.0001 0.0001 5.5500
Li V Si O
4 4 4 16
direct
0.0581 0.6068 0.2500
0.4419 0.1068 0.2500
0.5581 0.8932 0.7500
0.9419 0.3932 0.7500
0.4803 0.2240 0.7500
0.9803 0.2760 0.2500
0.0197 0.7240 0.7500
0.5197 0.7760 0.2500
0.0000 0.0000 0.0000
0.0000 0.0000 0.5000
0.5000 0.5000 0.5000
0.5000 0.5000 0.0000
0.2763 0.4318 0.2500
0.2237 0.9318 0.2500
0.7763 0.0682 0.7500
0.7237 0.5682 0.7500
0.1870 0.9258 0.7500
0.3130 0.4258 0.7500
0.6870 0.5742 0.2500
0.8130 0.0742 0.2500
0.3014 0.6590 0.9960
0.3014 0.6590 0.5040
0.1986 0.1590 0.9960
0.1986 0.1590 0.5040
0.8014 0.8410 0.4960
0.8014 0.8410 0.0040
0.6986 0.3410 0.4960
0.6986 0.3410 0.0040
```

Computed properties:
Offset from the most stable computed form: 83 meV per atom
ρ: 3.9 g/cm³
Space-group type: Pnma (62)



Record 7
DFT (PBE+U) results for crystalline LiVSiO4 at its relaxed geometry.

Structure (POSCAR):
```
LiVSiO4
1.0
-2.9305 -3.1582 -2.0493
4.4969 -1.5294 -4.0736
3.3546 -7.2892 6.4369
Li V Si O
4 4 4 16
direct
0.0203 0.0063 0.2140
0.4797 0.0063 0.7140
0.5202 0.5065 0.2860
0.9797 0.5065 0.7860
0.5000 0.2565 0.0000
0.0000 0.7565 0.5000
0.0000 0.2566 0.5000
0.5000 0.7565 0.0000
0.0815 0.5065 0.0879
0.4185 0.5065 0.5879
0.5815 0.0066 0.4121
0.9185 0.0066 0.9121
0.2412 0.5065 0.9407
0.2588 0.5066 0.4407
0.7412 0.0065 0.5593
0.7588 0.0065 0.0593
0.2360 0.0066 0.4203
0.2640 0.0065 0.9202
0.7360 0.5065 0.0797
0.7640 0.5065 0.5798
0.2214 0.2880 0.1486
0.2214 0.7250 0.1486
0.2786 0.7250 0.6486
0.2786 0.2880 0.6486
0.7214 0.7882 0.3513
0.7213 0.2251 0.3514
0.7787 0.2251 0.8514
0.7786 0.7881 0.8513
```

Computed properties:
Offset from the most stable computed form: 50 meV per atom
ρ: 3.2 g/cm³
Space-group type: Pnma (62)



Record 8
DFT (PBE+U) results for crystalline LiVSiO2 at its relaxed geometry.

Structure (POSCAR):
```
LiVSiO2
1.0
-3.6252 -0.3986 -0.4860
0.8783 -1.8070 -5.0705
0.2095 -3.4485 1.2653
Si Li O V
1 1 2 1
direct
0.5000 0.5000 0.5000
0.0000 0.5000 0.0000
0.0000 0.0000 0.5000
0.5000 0.0000 0.0000
0.0000 0.0000 0.0000
```

Computed properties:
ρ: 2.7 g/cm³
Space-group type: P4/mmm (123)
Calculated total energy: -5.330 eV per atom



Record 9
DFT (PBE+U) results for crystalline Li2VSi2O6 at its relaxed geometry.

Structure (POSCAR):
```
Li2VSi2O6
1.0
-5.3434 -4.6687 1.2589
2.4532 -0.2122 9.6259
-6.4105 7.8241 1.8062
Li V Si O
12 6 12 36
direct
0.8061 0.2444 0.0000
0.7135 0.7199 0.0000
0.2777 0.4594 0.2305
0.2017 0.0363 0.2369
0.7983 0.5363 0.2631
0.7223 0.9594 0.2695
0.2865 0.2199 0.5000
0.1939 0.7444 0.5000
0.7223 0.9594 0.7305
0.7983 0.5363 0.7369
0.2017 0.0363 0.7631
0.2777 0.4594 0.7695
0.2460 0.2483 0.0000
0.9870 0.0154 0.0000
0.5205 0.4691 0.0000
0.0130 0.5154 0.5000
0.4795 0.9691 0.5000
0.7540 0.7483 0.5000
0.9908 0.5346 0.0000
0.5180 0.9707 0.0000
0.0343 0.7516 0.2271
0.4832 0.7455 0.2245
0.5168 0.2455 0.2755
0.9657 0.2516 0.2729
0.4820 0.4707 0.5000
0.0092 0.0346 0.5000
0.9657 0.2516 0.7271
0.5168 0.2455 0.7245
0.4832 0.7455 0.7755
0.0343 0.7516 0.7729
0.3069 0.0290 0.0000
0.6944 0.0702 0.0000
0.1988 0.4726 0.0000
0.8165 0.4327 0.0000
0.0339 0.1907 0.1338
0.5565 0.8641 0.1225
0.9486 0.6417 0.1216
0.4462 0.3080 0.1386
0.9720 0.9033 0.1891
0.5645 0.6029 0.1727
0.7415 0.2364 0.2809
0.2585 0.7364 0.2191
0.4355 0.1029 0.3273
0.0280 0.4033 0.3109
0.5538 0.8080 0.3614
0.0514 0.1417 0.3784
0.4435 0.3641 0.3775
0.9661 0.6907 0.3662
0.6931 0.5290 0.5000
0.3056 0.5702 0.5000
0.1835 0.9327 0.5000
0.8012 0.9726 0.5000
0.9661 0.6907 0.6338
0.4435 0.3641 0.6225
0.0514 0.1417 0.6216
0.5538 0.8080 0.6386
0.0280 0.4033 0.6891
0.4355 0.1029 0.6727
0.2585 0.7364 0.7809
0.7415 0.2364 0.7191
0.5645 0.6029 0.8273
0.9720 0.9033 0.8109
0.4462 0.3080 0.8614
0.9486 0.6417 0.8784
0.5565 0.8641 0.8775
0.0339 0.1907 0.8662
```

Computed properties:
ρ: 2.9 g/cm³
Space-group type: Pmn2_1 (31)
Calculated total energy: -7.111 eV per atom



Record 10
DFT (PBE+U) results for crystalline Li2VSi2O7 at its relaxed geometry.

Structure (POSCAR):
```
Li2VSi2O7
1.0
5.1933 0.0003 0.0000
0.4970 6.0576 -0.0036
0.5527 2.7453 8.2372
Li V Si O
4 2 4 14
direct
0.3013 0.9392 0.1503
0.6987 0.0608 0.8497
0.1956 0.8126 0.5229
0.8044 0.1874 0.4771
0.7598 0.5721 0.7250
0.2402 0.4279 0.2750
0.6973 0.7325 0.3472
0.3027 0.2675 0.6528
0.2107 0.7857 0.8739
0.7893 0.2143 0.1261
0.6069 0.3294 0.6392
0.3931 0.6706 0.3608
0.0872 0.4739 0.6647
0.9128 0.5261 0.3353
0.7611 0.3222 0.9326
0.2389 0.6778 0.0674
0.7103 0.9398 0.1651
0.2897 0.0602 0.8349
0.7723 0.8263 0.4950
0.2277 0.1737 0.5050
0.4301 0.6859 0.7639
0.5699 0.3141 0.2361
0.9211 0.8000 0.8075
0.0789 0.2000 0.1925
```

Computed properties:
ρ: 3.0 g/cm³
Space-group type: P-1 (2)
Calculated total energy: -7.154 eV per atom



Record 11
DFT (PBE+U) results for crystalline LiVSiO4 at its relaxed geometry.

Structure (POSCAR):
```
LiVSiO4
1.0
5.4560 -0.0003 -0.0002
0.0004 8.1760 -0.0516
0.0003 -2.3945 8.0954
Li V Si O
4 4 4 16
direct
0.8424 0.9692 0.0725
0.1576 0.9692 0.5725
0.3416 0.5045 0.2892
0.6584 0.5045 0.7892
0.6632 0.8603 0.6955
0.8358 0.3709 0.3939
0.3369 0.8603 0.1955
0.1642 0.3709 0.8939
0.6615 0.2469 0.0126
0.3385 0.2469 0.5126
0.8354 0.7405 0.3228
0.1646 0.7406 0.8228
0.1712 0.8898 0.0043
0.8288 0.8898 0.5043
0.3839 0.3255 0.0543
0.6161 0.3255 0.5543
0.6855 0.8101 0.1850
0.3145 0.8101 0.6850
0.1243 0.6976 0.2649
0.8757 0.6976 0.7649
0.7800 0.2149 0.1808
0.2199 0.2149 0.6808
0.6942 0.5740 0.3515
0.3058 0.5740 0.8516
0.1816 0.3821 0.4399
0.8184 0.3822 0.9399
0.3131 0.0524 0.3866
0.6869 0.0524 0.8866
```

Computed properties:
Offset from the most stable computed form: 83 meV per atom
ρ: 2.8 g/cm³
Space-group type: Pc (7)



Record-wise total magnetization values, in Bohr magnetons per cell: 4.00 6.00 6.00 2.00 12.00 8.00 8.00 0.48 18.00 2.00 8.00